(1)
VASP calculation (PBE) on SmO after structural relaxation.

```
data_SmO
_chemical_formula_sum 'Sm1 O1'
_symmetry_space_group_name_H-M 'P 1'
_symmetry_Int_Tables_number 1
_cell_length_a 3.830
_cell_length_b 3.830
_cell_length_c 3.830
_cell_angle_alpha 60.00
_cell_angle_beta 60.00
_cell_angle_gamma 60.00
loop_
_symmetry_equiv_pos_as_xyz
'x,y,z'
loop_
_atom_site_label
_atom_site_type_symbol
_atom_site_fract_x
_atom_site_fract_y
_atom_site_fract_z
O1 O 0.000 0.000 0.000
Sm1 Sm 0.250 0.250 0.250
```

Values from the calculation:
Relative energy among the computed polymorphs ... 14.9 kJ per mole of atoms

***

(2)
VASP calculation (PBE) on Sm2O3 after structural relaxation.

```
data_Sm2O3
_chemical_formula_sum 'Sm2 O3'
_symmetry_space_group_name_H-M 'P 1'
_symmetry_Int_Tables_number 1
_cell_length_a 6.097
_cell_length_b 6.097
_cell_length_c 3.139
_cell_angle_alpha 90.00
_cell_angle_beta 90.00
_cell_angle_gamma 120.00
loop_
_symmetry_equiv_pos_as_xyz
'x,y,z'
loop_
_atom_site_label
_atom_site_type_symbol
_atom_site_fract_x
_atom_site_fract_y
_atom_site_fract_z
O1 O 0.492 0.000 0.000
O2 O 0.000 0.492 0.000
O3 O 0.508 0.508 0.000
Sm1 Sm 0.333 0.667 0.500
Sm2 Sm 0.667 0.333 0.500
```

Values from the calculation:
Final energy ... -8.093 eV per atom

***

(3)
VASP calculation (PBE) on Sm4O5 after structural relaxation.

```
data_Sm4O5
_chemical_formula_sum 'Sm4 O5'
_symmetry_space_group_name_H-M 'P 1'
_symmetry_Int_Tables_number 1
_cell_length_a 8.870
_cell_length_b 4.123
_cell_length_c 4.123
_cell_angle_alpha 90.00
_cell_angle_beta 90.00
_cell_angle_gamma 90.00
loop_
_symmetry_equiv_pos_as_xyz
'x,y,z'
loop_
_atom_site_label
_atom_site_type_symbol
_atom_site_fract_x
_atom_site_fract_y
_atom_site_fract_z
O1 O 0.850 0.500 0.000
O2 O 0.150 0.500 0.000
O3 O 0.150 0.000 0.500
O4 O 0.500 0.500 0.500
O5 O 0.850 0.000 0.500
Sm1 Sm 0.245 0.500 0.500
Sm2 Sm 0.755 0.500 0.500
Sm3 Sm 0.000 0.000 0.000
Sm4 Sm 0.500 0.000 0.000
```

Values from the calculation:
Final energy ... -7.579 eV per atom

***

(4)
VASP calculation (PBE) on Sm2O3 after structural relaxation.

```
data_Sm2O3
_chemical_formula_sum 'Sm6 O9'
_symmetry_space_group_name_H-M 'P 1'
_symmetry_Int_Tables_number 1
_cell_length_a 7.082
_cell_length_b 7.082
_cell_length_c 8.795
_cell_angle_alpha 101.83
_cell_angle_beta 101.83
_cell_angle_gamma 30.47
loop_
_symmetry_equiv_pos_as_xyz
'x,y,z'
loop_
_atom_site_label
_atom_site_type_symbol
_atom_site_fract_x
_atom_site_fract_y
_atom_site_fract_z
O1 O 0.006 0.006 0.659
O2 O 0.332 0.332 0.665
O3 O 0.994 0.994 0.341
O4 O 0.659 0.659 0.675
O5 O 0.000 0.000 0.000
O6 O 0.673 0.673 0.993
O7 O 0.327 0.327 0.007
O8 O 0.341 0.341 0.325
O9 O 0.668 0.668 0.335
Sm1 Sm 0.472 0.472 0.190
Sm2 Sm 0.196 0.196 0.143
Sm3 Sm 0.862 0.862 0.476
Sm4 Sm 0.804 0.804 0.857
Sm5 Sm 0.138 0.138 0.524
Sm6 Sm 0.528 0.528 0.810
```

Values from the calculation:
Final energy ... -8.260 eV per atom

***

(5)
VASP calculation (PBE) on SrSmO3 after structural relaxation.

```
data_SrSmO3
_chemical_formula_sum 'Sr1 Sm1 O3'
_symmetry_space_group_name_H-M 'P 1'
_symmetry_Int_Tables_number 1
_cell_length_a 4.356
_cell_length_b 4.356
_cell_length_c 4.623
_cell_angle_alpha 90.00
_cell_angle_beta 90.00
_cell_angle_gamma 90.00
loop_
_symmetry_equiv_pos_as_xyz
'x,y,z'
loop_
_atom_site_label
_atom_site_type_symbol
_atom_site_fract_x
_atom_site_fract_y
_atom_site_fract_z
Sm1 Sm 0.500 0.500 0.552
O1 O 0.500 0.000 0.664
O2 O 0.500 0.500 0.072
O3 O 0.000 0.500 0.664
Sr1 Sr 0.000 0.000 0.948
```

Values from the calculation:
Final energy ... -6.796 eV per atom

***

(6)
VASP calculation (PBE) on SrSmO3 after structural relaxation.

```
data_SrSmO3
_chemical_formula_sum 'Sr2 Sm2 O6'
_symmetry_space_group_name_H-M 'P 1'
_symmetry_Int_Tables_number 1
_cell_length_a 6.100
_cell_length_b 6.100
_cell_length_c 6.350
_cell_angle_alpha 61.29
_cell_angle_beta 61.29
_cell_angle_gamma 60.00
loop_
_symmetry_equiv_pos_as_xyz
'x,y,z'
loop_
_atom_site_label
_atom_site_type_symbol
_atom_site_fract_x
_atom_site_fract_y
_atom_site_fract_z
O1 O 0.975 0.540 0.263
O2 O 0.540 0.222 0.263
O3 O 0.025 0.460 0.737
O4 O 0.778 0.025 0.737
O5 O 0.222 0.975 0.263
O6 O 0.460 0.778 0.737
Sr1 Sr 0.636 0.636 0.093
Sr2 Sr 0.364 0.364 0.907
Sm1 Sm 0.856 0.856 0.432
Sm2 Sm 0.144 0.144 0.568
```

Values from the calculation:
Final energy ... -6.900 eV per atom

***

no.,size of the total moment (μB per cell)
1,0.9
2,0.0
3,1.7
4,0.0
5,1.0
6,2.0